Y6Ni2Pt | GGA-PBE | optimized geometry

Summary:
total magnetic moment = 0.000 μB per atom
symmetry = No. 71
ΔE_f = -0.49 eV/atom
N(E_F) = 16.797 states/eV/cell

Lattice parameters (Å, degrees): 8.269 8.269 8.269 108.56 109.34 110.52
Sites, in units of the cell vectors:
Y 0.554 0.731 0.824
Y 0.446 0.269 0.176
Y 0.093 0.269 0.824
Y 0.907 0.731 0.176
Y 0.814 0.750 0.564
Y 0.186 0.250 0.436
Y 0.186 0.750 0.936
Y 0.814 0.250 0.064
Y 0.692 0.363 0.671
Y 0.308 0.637 0.329
Y 0.308 0.979 0.671
Y 0.692 0.021 0.329
Ni 0.500 0.382 0.882
Ni 0.500 0.618 0.118
Ni 0.657 0.000 0.657
Ni 0.343 0.000 0.343
Pt 0.000 0.500 0.500
Pt 0.000 0.000 0.000


YNi6Pt6 | GGA-PBE | optimized geometry

Summary:
total magnetic moment = 0.413 μB per atom
symmetry = No. 71
ΔE_f = -0.32 eV/atom
N(E_F) = 16.406 states/eV/cell

Lattice parameters (Å, degrees): 4.962 6.622 6.622 82.83 68.00 68.00
Each line ends with the local moment (μB).
Sites, in units of the cell vectors:
Y 0.000 0.000 0.000  -0.04
Ni 0.000 0.500 0.000  0.69
Ni 0.500 0.500 0.000  0.69
Ni 0.000 0.000 0.500  0.69
Ni 0.500 0.000 0.500  0.69
Ni 0.500 0.766 0.234  0.75
Ni 0.500 0.234 0.766  0.75
Pt 0.343 0.657 0.657  0.23
Pt 0.657 0.343 0.343  0.23
Pt 0.000 0.342 0.658  0.22
Pt 0.000 0.658 0.342  0.22
Pt 0.302 0.198 0.198  0.24
Pt 0.698 0.802 0.802  0.24


Y3Ni8Pt | GGA-PBE | optimized geometry

Summary:
total magnetic moment = 0.000 μB per atom
symmetry = No. 160
ΔE_f = -0.43 eV/atom
N(E_F) = 14.406 states/eV/cell

Lattice parameters (Å, degrees): 4.997 4.997 8.678 73.27 73.27 60.00
Sites, in units of the cell vectors:
Y 0.377 0.377 0.869
Y 0.989 0.989 0.033
Y 0.508 0.508 0.476
Ni 0.942 0.436 0.186
Ni 0.441 0.938 0.684
Ni 0.436 0.436 0.186
Ni 0.938 0.938 0.684
Ni 0.188 0.188 0.437
Ni 0.688 0.688 0.936
Ni 0.436 0.942 0.186
Ni 0.938 0.441 0.684
Pt 0.870 0.870 0.391


Y2Ni9Pt | GGA-PBE | optimized geometry

Summary:
total magnetic moment = 0.264 μB per atom
symmetry = No. 166
ΔE_f = -0.19 eV/atom
N(E_F) = 13.747 states/eV/cell

Lattice parameters (Å, degrees): 4.911 4.911 8.455 73.12 73.12 60.00
Each line ends with the local moment (μB).
Sites, in units of the cell vectors:
Y 0.867 0.867 0.398  -0.07
Y 0.133 0.133 0.602  -0.07
Ni 0.667 0.667 0.999  0.57
Ni 0.333 0.333 0.001  0.57
Ni 0.500 0.500 0.500  0.22
Ni 0.419 0.419 0.243  0.36
Ni 0.920 0.419 0.243  0.36
Ni 0.419 0.920 0.243  0.36
Ni 0.581 0.581 0.757  0.36
Ni 0.581 0.080 0.757  0.36
Ni 0.080 0.581 0.757  0.36
Pt 0.000 0.000 0.000  0.08


Please write out number 3 again, unchanged.
Y3Ni8Pt | GGA-PBE | optimized geometry

Summary:
total magnetic moment = 0.000 μB per atom
symmetry = No. 160
ΔE_f = -0.43 eV/atom
N(E_F) = 14.406 states/eV/cell

Lattice parameters (Å, degrees): 4.997 4.997 8.678 73.27 73.27 60.00
Sites, in units of the cell vectors:
Y 0.377 0.377 0.869
Y 0.989 0.989 0.033
Y 0.508 0.508 0.476
Ni 0.942 0.436 0.186
Ni 0.441 0.938 0.684
Ni 0.436 0.436 0.186
Ni 0.938 0.938 0.684
Ni 0.188 0.188 0.437
Ni 0.688 0.688 0.936
Ni 0.436 0.942 0.186
Ni 0.938 0.441 0.684
Pt 0.870 0.870 0.391